First-principles (GGA-PBE) data for crystalline NdErSc2In4 at its relaxed geometry, as listed in Alexandria via LeMat-Bulk.

a b c (Å): 9.057 9.057 9.057
angles (deg): 33.46 33.46 33.46
Atoms (fractional coordinates):
Nd 0.000 0.000 0.000
Er 0.500 0.500 0.500
Sc 0.250 0.250 0.250
Sc 0.750 0.750 0.750
In 0.127 0.127 0.127
In 0.377 0.377 0.377
In 0.623 0.623 0.623
In 0.873 0.873 0.873

As for the calculated formation energy: -421 meV/atom. Its space-group type is R-3m. Its theoretical density is 7.1 g/cm3.


First-principles (GGA-PBE) data for crystalline NdErIn2Se4 at its relaxed geometry, as listed in Alexandria via LeMat-Bulk.

a b c (Å): 7.286 4.202 8.102
angles (deg): 90.00 107.38 90.00
Atoms (fractional coordinates):
Nd 0.000 0.000 0.000
Er 0.500 0.500 0.000
In 0.000 0.500 0.500
In 0.500 0.000 0.500
Se 0.247 0.500 0.213
Se 0.273 0.000 0.792
Se 0.727 0.000 0.208
Se 0.753 0.500 0.787

Its space-group type is P2/m. Its theoretical density is 6.0 g/cm3. For the uncorrected formation energy, the calculation gives -1.287 eV/atom.


First-principles (GGA-PBE) data for crystalline Nd6Sm3Er2In at its relaxed geometry, as listed in Alexandria via LeMat-Bulk.

a b c (Å): 6.261 6.261 11.847
angles (deg): 95.15 95.15 120.21
Atoms (fractional coordinates):
Nd 0.080 0.407 0.243
Nd 0.246 0.246 0.754
Nd 0.407 0.080 0.243
Nd 0.593 0.920 0.757
Nd 0.754 0.754 0.246
Nd 0.920 0.593 0.757
Sm 0.169 0.831 0.500
Sm 0.500 0.500 0.500
Sm 0.831 0.169 0.500
Er 0.334 0.666 0.000
Er 0.666 0.334 0.000
In 0.000 0.000 0.000

As for the calculated formation energy: -30 meV/atom. Its space-group type is C2/m. Its theoretical density is 7.4 g/cm3.